[1]
Compound: CaRe
Source: the Alexandria database
Functional: PBE
Structure: relaxed

a b c (Å): 5.519 5.519 5.519
angles (deg): 90.00 90.00 90.00
Space group P2_13 (No. 198)
One atom of each set of equivalent atoms:
Ca (0.098, 0.402, 0.598) [4 per cell]
Re (0.106, 0.894, 0.394) [4 per cell]

Computed properties:
**Excess energy over the best structure of this formula in the dataset**: 1.2128 eV per atom
**E_tot**: -45.68 eV per cell

---

[2]
Compound: PaRuSe4
Source: the Alexandria database
Functional: PBE
Structure: relaxed

a b c (Å): 9.082 9.082 7.444
angles (deg): 90.00 90.00 90.00
Space group I4_1md (No. 109)
One atom of each set of equivalent atoms:
Pa (0.000, 0.000, 0.000) [4 per cell]
Ru (0.000, 0.000, 0.491) [4 per cell]
Se (0.000, 0.286, 0.500) [8 per cell]
Se (0.000, 0.302, 0.967) [8 per cell]

Computed properties:
**E_tot**: -146.77 eV per cell

---

Look up the E_tot of the second one.
-146.77 eV per cell

---

Among the records above, which one has the highest E_tot?
CaRe

---

Which of these has the lowest E_tot?
PaRuSe4